Here is ScCoF2 after structural relaxation from Alexandria. Energies are from PBEsol.

Unit cell a=5.6925 b=5.6925 c=5.6925 alpha=90.00 beta=90.00 gamma=90.00
Space group Fm-3m (No. 225)
Symmetry-distinct sites (fractional):
Sc: 0.0000 0.0000 0.0000 x4
Co: 0.0000 0.0000 0.5000 x4
F: 0.2500 0.2500 0.2500 x8

## Properties
Volume   11.5 Å³ per atom
Crystal system   cubic
ρ   5.1 g/cm3

***

Here is ZrCo2SeF after structural relaxation from Alexandria. Energies are from PBEsol.

Unit cell a=4.1901 b=4.1901 c=4.3796 alpha=90.00 beta=90.00 gamma=90.00
Space group P4/mmm (No. 123)
Symmetry-distinct sites (fractional):
Zr: 0.0000 0.0000 0.0000 x1
Co: 0.0000 0.5000 0.5000 x2
Se: 0.5000 0.5000 0.5000 x1
F: 0.5000 0.5000 0.0000 x1

## Properties
Volume   15.4 Å³ per atom
Crystal system   tetragonal
ρ   6.6 g/cm3

***

Here is CoSiF2 after structural relaxation from Alexandria. Energies are from PBEsol.

Unit cell a=5.2138 b=5.2138 c=8.9405 alpha=90.00 beta=90.00 gamma=90.00
Space group I-42d (No. 122)
Symmetry-distinct sites (fractional):
Co: 0.0000 0.0000 0.0000 x4
Si: 0.0000 0.0000 0.5000 x4
F: 0.1733 0.7500 0.1250 x8

## Properties
Volume   15.2 Å³ per atom
Relative energy among the computed polymorphs   0.00 eV/f.u.
Crystal system   tetragonal
ρ   3.4 g/cm3

***

Here is CoSiF2 after structural relaxation from Alexandria. Energies are from PBEsol.

Unit cell a=5.6733 b=5.6733 c=5.6733 alpha=90.00 beta=90.00 gamma=90.00
Space group Fm-3m (No. 225)
Symmetry-distinct sites (fractional):
Co: 0.0000 0.0000 0.0000 x4
Si: 0.0000 0.0000 0.5000 x4
F: 0.2500 0.2500 0.2500 x8

## Properties
Volume   11.4 Å³ per atom
Relative energy among the computed polymorphs   0.33 eV/f.u.
Crystal system   cubic
ρ   4.5 g/cm3

***

Here is CoSnF3 after structural relaxation from Alexandria. Energies are from PBEsol.

Unit cell a=4.0710 b=4.0710 c=4.0710 alpha=90.00 beta=90.00 gamma=90.00
Space group Pm-3m (No. 221)
Symmetry-distinct sites (fractional):
Co: 0.0000 0.0000 0.0000 x1
Sn: 0.5000 0.5000 0.5000 x1
F: 0.0000 0.0000 0.5000 x3

## Properties
Volume   13.5 Å³ per atom
Crystal system   cubic
ρ   5.8 g/cm3

***

Here is Co2SnWF after structural relaxation from Alexandria. Energies are from PBEsol.

Unit cell a=4.6440 b=4.6440 c=3.9143 alpha=90.00 beta=90.00 gamma=90.00
Space group P4/mmm (No. 123)
Symmetry-distinct sites (fractional):
Co: 0.0000 0.5000 0.0000 x2
Sn: 0.0000 0.0000 0.0000 x1
W: 0.5000 0.5000 0.5000 x1
F: 0.0000 0.0000 0.5000 x1

## Properties
Volume   16.9 Å³ per atom
Crystal system   tetragonal
ρ   8.6 g/cm3

***

Here is Sr3CoF after structural relaxation from Alexandria. Energies are from PBEsol.

Unit cell a=5.5304 b=5.5304 c=5.5304 alpha=90.00 beta=90.00 gamma=90.00
Space group Pm-3m (No. 221)
Symmetry-distinct sites (fractional):
Sr: 0.0000 0.0000 0.5000 x3
Co: 0.0000 0.0000 0.0000 x1
F: 0.5000 0.5000 0.5000 x1

## Properties
Volume   33.8 Å³ per atom
Crystal system   cubic
ρ   3.3 g/cm3

***

Here is TaCoF2 after structural relaxation from Alexandria. Energies are from PBEsol.

Unit cell a=4.9540 b=4.9540 c=8.7200 alpha=90.00 beta=90.00 gamma=90.00
Space group I-42d (No. 122)
Symmetry-distinct sites (fractional):
Ta: 0.0000 0.0000 0.0000 x4
Co: 0.0000 0.0000 0.5000 x4
F: 0.2191 0.7500 0.6250 x8

## Properties
Volume   13.4 Å³ per atom
Relative energy among the computed polymorphs   2.44 eV/f.u.
Crystal system   tetragonal
ρ   8.6 g/cm3

***

Here is Ta3CoF after structural relaxation from Alexandria. Energies are from PBEsol.

Unit cell a=4.1815 b=4.1815 c=4.1815 alpha=90.00 beta=90.00 gamma=90.00
Space group Pm-3m (No. 221)
Symmetry-distinct sites (fractional):
Ta: 0.0000 0.0000 0.5000 x3
Co: 0.5000 0.5000 0.5000 x1
F: 0.0000 0.0000 0.0000 x1

## Properties
Volume   14.6 Å³ per atom
Crystal system   cubic
ρ   14.1 g/cm3

***

Here is TaCoF2 after structural relaxation from Alexandria. Energies are from PBEsol.

Unit cell a=2.8000 b=2.8000 c=21.5328 alpha=90.00 beta=90.00 gamma=120.00
Space group R-3m (No. 166, hexagonal axes)
Symmetry-distinct sites (fractional):
Ta: 0.0000 0.0000 0.0000 x3
Co: 0.0000 0.0000 0.5000 x3
F: 0.0000 0.0000 0.1001 x6

## Properties
Volume   12.2 Å³ per atom
Relative energy among the computed polymorphs   0.00 eV/f.u.
Crystal system   trigonal
ρ   9.5 g/cm3

***

Here is CoTc3F after structural relaxation from Alexandria. Energies are from PBEsol.

Unit cell a=3.9975 b=3.9975 c=3.9975 alpha=90.00 beta=90.00 gamma=90.00
Space group Pm-3m (No. 221)
Symmetry-distinct sites (fractional):
Co: 0.0000 0.0000 0.0000 x1
Tc: 0.0000 0.5000 0.5000 x3
F: 0.5000 0.5000 0.5000 x1

## Properties
Volume   12.8 Å³ per atom
Crystal system   cubic
ρ   9.7 g/cm3

***

Here is CoTe2F after structural relaxation from Alexandria. Energies are from PBEsol.

Unit cell a=6.3171 b=6.3171 c=6.3171 alpha=90.00 beta=90.00 gamma=90.00
Space group Fm-3m (No. 225)
Symmetry-distinct sites (fractional):
Co: 0.0000 0.0000 0.0000 x4
Te: 0.2500 0.2500 0.2500 x8
F: 0.0000 0.0000 0.5000 x4

## Properties
Volume   15.8 Å³ per atom
Crystal system   cubic
ρ   8.8 g/cm3

***

Here is TiCoF2 after structural relaxation from Alexandria. Energies are from PBEsol.

Unit cell a=2.8121 b=2.8121 c=20.9734 alpha=90.00 beta=90.00 gamma=120.00
Space group R-3m (No. 166, hexagonal axes)
Symmetry-distinct sites (fractional):
Ti: 0.0000 0.0000 0.0000 x3
Co: 0.0000 0.0000 0.5000 x3
F: 0.0000 0.0000 0.0956 x6

## Properties
Volume   12.0 Å³ per atom
Crystal system   trigonal
ρ   5.0 g/cm3

***

Here is CoWF2 after structural relaxation from Alexandria. Energies are from PBEsol.

Unit cell a=2.6683 b=2.6683 c=26.8337 alpha=90.00 beta=90.00 gamma=120.00
Space group R-3m (No. 166, hexagonal axes)
Symmetry-distinct sites (fractional):
Co: 0.0000 0.0000 0.0000 x3
W: 0.0000 0.0000 0.5000 x3
F: 0.0000 0.0000 0.1088 x6

## Properties
Volume   13.8 Å³ per atom
Crystal system   trigonal
ρ   8.5 g/cm3

***

Here is CoWF3 after structural relaxation from Alexandria. Energies are from PBEsol.

Unit cell a=4.1597 b=4.1597 c=4.1597 alpha=90.00 beta=90.00 gamma=90.00
Space group Pm-3m (No. 221)
Symmetry-distinct sites (fractional):
Co: 0.0000 0.0000 0.0000 x1
W: 0.5000 0.5000 0.5000 x1
F: 0.0000 0.5000 0.5000 x3

## Properties
Volume   14.4 Å³ per atom
Crystal system   cubic
ρ   6.9 g/cm3

***

Magnetic moment values (in μB per formula unit) by entry order: 1.73, 0.52, 2.34, 1.56, 2.35, 3.57, 0.01, 1.99, 0.07, 2.28, 0.31, 0.00, 3.11, 1.88, 5.33.
DFT total energy values (in eV for the cell shown) by entry order: -92.4, -30.2, -75.1, -73.8, -24.7, -29.0, -16.4, -99.6, -45.5, -82.0, -38.5, -75.1, -72.0, -80.4, -28.9.